The following is a meta-GGA SCAN calculation of a crystal of Rb2CdBi2 relaxed with PBEsol, from the Alexandria database.

Geometry as POSCAR:
```
Rb2CdBi2
1.0
6.021 0.000 0.000
0.000 7.894 0.000
0.000 0.000 7.894
Bi Rb Cd
4 4 2
Cartesian
0.000 6.779 5.062 Bi
0.000 1.115 2.832 Bi
0.000 5.062 1.115 Bi
0.000 2.832 6.779 Bi
3.010 6.590 2.643 Rb
3.010 2.643 1.304 Rb
3.010 1.304 5.251 Rb
3.010 5.251 6.590 Rb
0.000 3.947 3.947 Cd
0.000 0.000 0.000 Cd
```

- SG: No. 127
- E_tot: -46.1337 eV per atom
- Total moment: 0.0 Bohr magnetons per cell
- ρ: 6.208 g/cm³